8
Lattice="3.697 0.000 0.000 0.000 3.697 0.000 0.000 0.000 15.512" Properties=species:S:1:pos:R:3 comment="Nd4Al3Hg, relaxed, DFT GGA-PBE" n_ef_per_ev_fu=4.63 polymorph_energy_kj_per_mol_atoms=0.0 rho_g_cm3=6.7 ef_ev_per_atom=-0.381 crystal_system=tetragonal pbc="T T T"
Al 1.849 1.849 7.756
Al 1.849 1.849 11.562
Al 1.849 1.849 3.950
Hg 1.849 1.849 0.000
Nd 0.000 0.000 2.079
Nd 0.000 0.000 9.636
Nd 0.000 0.000 5.875
Nd 0.000 0.000 13.432